Entry from Alexandria via LeMat-Bulk: K2ReTe after structural relaxation (PBE).

Cell: 12.8315 12.8315 9.4183 Å, 47.06 47.06 90.00°
Closest atoms and distances in Å follow each position.
Atoms (fractional coordinates):
K: 0.8750 0.6962 0.7500  2 Te 3.39
K: 0.4462 0.1250 0.2500  2 Te 3.39
Re: 0.7500 0.2500 0.5000  2 Te 2.53
Re: 0.0000 0.0000 0.0000  2 Te 2.53
Te: 0.5000 0.5000 0.0000  2 Re 2.53
Te: 0.2500 0.7500 0.5000  2 Re 2.53
K: 0.3038 0.6250 0.2500  2 Te 3.39
K: 0.3750 0.5538 0.7500  2 Te 3.39

## Properties
**Energy relative to the elements, uncorrected**: 0.760 eV per atom
**M_tot**: 2.4 μB per formula unit
**Total DFT energy (no corrections)**: -14.7 eV per formula unit

***

Entry from Alexandria via LeMat-Bulk: K4ReTe after structural relaxation (PBE).

Cell: 6.9301 6.9301 6.9301 Å, 60.00 60.00 60.00°
Closest atoms and distances in Å follow each position.
Atoms (fractional coordinates):
K: 0.3740 0.3740 0.8779  6 K 3.44-3.49
Re: 0.7500 0.7500 0.7500  12 K 4.07, 4 Te 4.24
K: 0.3740 0.8779 0.3740  6 K 3.44-3.49
Te: 0.0000 0.0000 0.0000  12 K 4.06, 4 Re 4.24
K: 0.3740 0.3740 0.3740  6 K 3.44-3.49
K: 0.8779 0.3740 0.3740  6 K 3.44-3.49

## Properties
**Energy relative to the elements, uncorrected**: 0.970 eV per atom
**M_tot**: 4.0 μB per formula unit
**Total DFT energy (no corrections)**: -14.2 eV per formula unit

***

Entry from Alexandria via LeMat-Bulk: KRe4Te after structural relaxation (PBE).

Cell: 5.4285 5.4285 5.4285 Å, 60.00 60.00 60.00°
Closest atoms and distances in Å follow each position.
Atoms (fractional coordinates):
K: 0.0000 0.0000 0.0000  12 Re 3.18, 4 Te 3.32
Te: 0.7500 0.7500 0.7500  12 Re 3.18, 4 K 3.32
Re: 0.8725 0.3758 0.3758  6 Re 2.70-2.73
Re: 0.3758 0.3758 0.8725  6 Re 2.70-2.73
Re: 0.3758 0.8725 0.3758  6 Re 2.70-2.73
Re: 0.3758 0.3758 0.3758  6 Re 2.70-2.73

## Properties
**Energy relative to the elements, uncorrected**: 1.102 eV per atom
**M_tot**: 0.0 μB per formula unit
**Total DFT energy (no corrections)**: -47.4 eV per formula unit

***

Entry from Alexandria via LeMat-Bulk: KReTe3 after structural relaxation (PBE).

Cell: 4.1591 8.6531 9.9957 Å, 122.33 90.00 90.00°
Closest atoms and distances in Å follow each position.
Atoms (fractional coordinates):
Te: 0.6955 0.7220 0.0576  2 Re 2.78
K: 0.1955 0.3854 0.0408  8 Te 3.51-3.86
Re: 0.6955 0.6232 0.6367  6 Te 2.59-2.78
Te: 0.6955 0.9662 0.8610  3 Re 2.59-2.76
Re: 0.1955 0.7984 0.9174  6 Te 2.59-2.78
Te: 0.1955 0.6996 0.4965  2 Re 2.78
Te: 0.6955 0.3581 0.3238  1 Re 2.71, 2 Te 3.02
K: 0.6955 0.0361 0.5133  8 Te 3.51-3.86
Te: 0.1955 0.4553 0.6930  3 Re 2.59-2.76
Te: 0.1955 0.0635 0.2303  1 Re 2.71, 2 Te 3.02

## Properties
**Polymorph energy (0 for the lowest one)**: 0.0 meV per atom
**Energy relative to the elements, uncorrected**: -0.232 eV per atom
**M_tot**: 0.0 μB per formula unit
**Total DFT energy (no corrections)**: -24.1 eV per formula unit

***

Entry from Alexandria via LeMat-Bulk: K2ReTe after structural relaxation (PBE).

Cell: 6.2651 6.2651 6.2651 Å, 132.15 132.15 69.99°
Closest atoms and distances in Å follow each position.
Atoms (fractional coordinates):
Re: 0.5000 0.5000 0.0000  8 K 3.59-3.61, 4 Te 3.61
K: 0.2500 0.7500 0.5000  4 Te 3.59, 4 K 3.61, 4 Re 3.61
Te: 0.7500 0.2500 0.5000  8 K 3.59-3.61, 4 Re 3.61
K: 0.0000 0.0000 0.0000  4 Re 3.59, 4 K 3.61, 4 Te 3.61

## Properties
**Energy relative to the elements, uncorrected**: 0.981 eV per atom
**M_tot**: 4.8 μB per formula unit
**Total DFT energy (no corrections)**: -13.9 eV per formula unit

***

Entry from Alexandria via LeMat-Bulk: K3ReTe after structural relaxation (PBE).

Cell: 6.5873 6.5873 6.5873 Å, 90.00 90.00 90.00°
Closest atoms and distances in Å follow each position.
Atoms (fractional coordinates):
Te: 0.0000 0.0000 0.0000  6 K 3.29
K: 0.0000 0.0000 0.5000  2 Te 3.29
Re: 0.5000 0.5000 0.5000  12 K 4.66
K: 0.0000 0.5000 0.0000  2 Te 3.29
K: 0.5000 0.0000 0.0000  2 Te 3.29

## Properties
**Polymorph energy (0 for the lowest one)**: 0.0 meV per atom
**Energy relative to the elements, uncorrected**: 0.827 eV per atom
**M_tot**: 4.1 μB per formula unit
**Total DFT energy (no corrections)**: -14.7 eV per formula unit